Record 1
## InCoW2 (PBE)

Data for a relaxed structure of InCoW2.

Cell: 3.1759 3.1759 6.3409 Å, 90.00 90.00 90.00°
Fractional coordinates of all 4 atoms:
W1 0.5000 0.5000 0.2608
W2 0.0000 0.0000 0.0297
In1 0.5000 0.5000 0.7304
Co1 0.0000 0.0000 0.4790

Results
DFT formation energy: 0.338 eV per atom
Space group: No. 99
Magnetization: 0.00 μB per cell

***

Record 2
## BaVAsBr2 (PBE)

Data for a relaxed structure of BaVAsBr2.

Cell: 5.3078 5.3078 4.9527 Å, 90.00 90.00 90.00°
Each line ends with the local moment (μB).
Fractional coordinates of all 5 atoms:
As1 0.0000 0.0000 0.5000  -0.20
Ba1 0.5000 0.5000 0.5000  -0.01
Br1 0.5000 0.0000 0.0000  -0.01
Br2 0.0000 0.5000 0.0000  -0.01
V1 0.0000 0.0000 0.0000  2.14

Results
Space group: No. 123
Magnetization: 2.00 μB per cell
E_form (uncorrected): -4.61 eV per formula unit

***

Record 3
## DyEr3Sn2C (PBE)

Data for a relaxed structure of DyEr3Sn2C.

Cell: 4.7859 4.7533 8.5925 Å, 106.06 106.17 90.00°
Fractional coordinates of all 7 atoms:
Er1 0.1585 0.1585 0.3170
Er2 0.8415 0.8415 0.6830
Er3 0.0000 0.5000 0.0000
Dy1 0.5000 0.0000 0.0000
Sn1 0.6411 0.6411 0.2821
Sn2 0.3589 0.3589 0.7179
C1 0.0000 0.0000 0.0000

Results
DFT formation energy: -0.660 eV per atom
Space group: No. 71
Magnetization: 0.00 μB per cell